(1)
This record from the Alexandria database describes crystalline Pr7ErTm3 at its relaxed geometry. The functional is PBE-GGA.

Computed properties:
ΔE to the lowest computed polymorph   92 meV/atom

Unit cell a=5.930 b=8.605 c=8.605 alpha=83.67 beta=110.20 gamma=110.20
Fractional coordinates of all 11 atoms:
Pr  0.209  0.208  0.208
Pr  0.309  0.022  0.597
Pr  0.691  0.403  0.978
Pr  0.309  0.597  0.022
Pr  0.000  0.500  0.500
Pr  0.691  0.978  0.403
Pr  0.791  0.792  0.792
Er  0.500  0.500  0.500
Tm  0.000  0.795  0.205
Tm  0.500  0.000  0.000
Tm  0.000  0.205  0.795

***

(2)
This record from the Alexandria database describes crystalline Pr2Er3Tm6 at its relaxed geometry. The functional is PBE-GGA.

Computed properties:
ΔE to the lowest computed polymorph   0 meV/atom

Unit cell a=6.048 b=6.053 c=11.636 alpha=85.00 beta=79.95 gamma=60.03
Fractional coordinates of all 11 atoms:
Pr  0.167  0.667  0.500
Pr  0.833  0.333  0.500
Er  0.000  0.000  0.000
Er  0.335  0.330  0.000
Er  0.665  0.670  0.000
Tm  0.415  0.667  0.755
Tm  0.749  0.000  0.755
Tm  0.082  0.333  0.755
Tm  0.251  0.000  0.245
Tm  0.585  0.333  0.245
Tm  0.918  0.667  0.245

***

(3)
This record from the Alexandria database describes crystalline Pr2Er3Tm5 at its relaxed geometry. The functional is PBE-GGA.

Computed properties:
ΔE to the lowest computed polymorph   0 meV/atom

Unit cell a=9.356 b=9.395 c=11.081 alpha=125.55 beta=125.48 gamma=68.09
Fractional coordinates of all 20 atoms:
Pr  0.777  0.013  0.743
Pr  0.223  0.987  0.257
Pr  0.467  0.730  0.743
Pr  0.533  0.270  0.257
Er  0.228  0.978  0.956
Er  0.772  0.022  0.044
Er  0.729  0.464  0.244
Er  0.271  0.536  0.756
Er  0.015  0.780  0.244
Er  0.985  0.220  0.756
Tm  0.276  0.526  0.053
Tm  0.724  0.474  0.947
Tm  0.018  0.768  0.536
Tm  0.524  0.274  0.548
Tm  0.982  0.232  0.464
Tm  0.476  0.726  0.452
Tm  0.869  0.612  0.761
Tm  0.131  0.388  0.239
Tm  0.392  0.149  0.761
Tm  0.608  0.851  0.239

***

(4)
This record from the Alexandria database describes crystalline Pr3Er4Tm5 at its relaxed geometry. The functional is PBE-GGA.

Computed properties:
ΔE to the lowest computed polymorph   224 meV/atom

Unit cell a=5.897 b=8.464 c=9.609 alpha=105.53 beta=72.13 gamma=69.61
Fractional coordinates of all 12 atoms:
Pr  0.524  0.686  0.266
Pr  0.000  0.500  0.500
Pr  0.476  0.314  0.734
Er  0.860  0.222  0.058
Er  0.169  0.038  0.624
Er  0.831  0.962  0.376
Er  0.140  0.778  0.942
Tm  0.623  0.949  0.805
Tm  0.500  0.500  0.500
Tm  0.215  0.456  0.114
Tm  0.785  0.544  0.886
Tm  0.377  0.051  0.195

***

(5)
This record from the Alexandria database describes crystalline Pr2Er4Tm5 at its relaxed geometry. The functional is PBE-GGA.

Computed properties:
ΔE to the lowest computed polymorph   184 meV/atom

Unit cell a=3.458 b=11.424 c=10.908 alpha=121.58 beta=99.12 gamma=90.00
Fractional coordinates of all 11 atoms:
Pr  0.203  0.203  0.407
Pr  0.797  0.797  0.593
Er  0.000  0.276  0.000
Er  0.590  0.590  0.180
Er  0.000  0.724  0.000
Er  0.410  0.410  0.820
Tm  0.822  0.112  0.644
Tm  0.822  0.532  0.644
Tm  0.178  0.468  0.356
Tm  0.178  0.888  0.356
Tm  0.500  0.000  0.000

***

(6)
This record from the Alexandria database describes crystalline Pr6ErTm at its relaxed geometry. The functional is PBE-GGA.

Unit cell a=5.172 b=5.172 c=10.346 alpha=90.00 beta=90.00 gamma=90.00
Fractional coordinates of all 8 atoms:
Pr  0.500  0.500  0.000
Pr  0.500  0.500  0.500
Pr  0.500  0.000  0.250
Pr  0.500  0.000  0.750
Pr  0.000  0.500  0.250
Pr  0.000  0.500  0.750
Er  0.000  0.000  0.000
Tm  0.000  0.000  0.500

***

Values of ΔH_f (0 K), in order: 0.22, 0.19, 0.20, 0.25, 0.21, 0.01, all in eV/atom.
Values of total magnetization, in order: 0.00, 0.00, 0.00, 0.00, 0.00, 0.00, all in Bohr magnetons per cell.